# 1
Material: ErThCdGa
Method: DFT, PBE-GGA
State: relaxed

Summary:
* total magnetic moment: 0.000 μB per atom
* E_tot: -68.86 eV for the cell shown

abc: 7.411 7.411 7.411
angles: 90.00 90.00 90.00
Space group F-43m (No. 216)
Unique sites:
Er (0.000, 0.000, 0.000)
Th (0.000, 0.000, 0.500)
Cd (0.250, 0.250, 0.250)
Ga (0.250, 0.250, 0.750)


# 2
Material: ErTiCdGa
Method: DFT, PBE-GGA
State: relaxed

Summary:
* total magnetic moment: 0.000 μB per atom
* E_tot: -69.00 eV for the cell shown

abc: 6.885 6.885 6.885
angles: 90.00 90.00 90.00
Space group F-43m (No. 216)
Unique sites:
Er (0.000, 0.000, 0.000)
Ti (0.000, 0.000, 0.500)
Cd (0.250, 0.250, 0.250)
Ga (0.250, 0.250, 0.750)


# 3
Material: ErTmCdGa
Method: DFT, PBE-GGA
State: relaxed

Summary:
* total magnetic moment: 0.000 μB per atom
* E_tot: -58.77 eV for the cell shown

abc: 7.240 7.240 7.240
angles: 90.00 90.00 90.00
Space group F-43m (No. 216)
Unique sites:
Er (0.000, 0.000, 0.000)
Tm (0.000, 0.000, 0.500)
Cd (0.250, 0.250, 0.750)
Ga (0.250, 0.250, 0.250)


# 4
Material: ErTmCdGa
Method: DFT, PBE-GGA
State: relaxed

Summary:
* total magnetic moment: 0.000 μB per atom
* E_tot: -14.78 eV for the cell shown

abc: 3.590 3.590 7.339
angles: 90.00 90.00 90.00
Space group P4mm (No. 99)
Unique sites:
Er (0.000, 0.000, 0.000)
Tm (0.000, 0.000, 0.531)
Cd (0.500, 0.500, 0.268)
Ga (0.500, 0.500, 0.764)


# 5
Material: YErCdGa
Method: DFT, PBE-GGA
State: relaxed

Summary:
* total magnetic moment: 0.000 μB per atom
* E_tot: -16.85 eV for the cell shown

abc: 3.619 3.619 7.394
angles: 90.00 90.00 90.00
Space group P4mm (No. 99)
Unique sites:
Y (0.000, 0.000, 0.000)
Er (0.000, 0.000, 0.470)
Cd (0.500, 0.500, 0.730)
Ga (0.500, 0.500, 0.239)


# 6
Material: YErCdGa
Method: DFT, PBE-GGA
State: relaxed

Summary:
* total magnetic moment: 0.000 μB per atom
* E_tot: -67.10 eV for the cell shown

abc: 7.295 7.295 7.295
angles: 90.00 90.00 90.00
Space group F-43m (No. 216)
Unique sites:
Y (0.000, 0.000, 0.000)
Er (0.000, 0.000, 0.500)
Cd (0.250, 0.250, 0.750)
Ga (0.250, 0.250, 0.250)


# 7
Material: ErZnCdGa
Method: DFT, PBE-GGA
State: relaxed

Summary:
* total magnetic moment: 0.000 μB per atom
* E_tot: -44.01 eV for the cell shown

abc: 6.874 6.874 6.874
angles: 90.00 90.00 90.00
Space group F-43m (No. 216)
Unique sites:
Er (0.000, 0.000, 0.000)
Zn (0.250, 0.250, 0.250)
Cd (0.000, 0.000, 0.500)
Ga (0.250, 0.250, 0.750)


# 8
Material: ErZrCdGa
Method: DFT, PBE-GGA
State: relaxed

Summary:
* total magnetic moment: 0.000 μB per atom
* E_tot: -73.17 eV for the cell shown

abc: 7.044 7.044 7.044
angles: 90.00 90.00 90.00
Space group F-43m (No. 216)
Unique sites:
Er (0.000, 0.000, 0.000)
Zr (0.000, 0.000, 0.500)
Cd (0.250, 0.250, 0.750)
Ga (0.250, 0.250, 0.250)


# 9
Material: Gd2ErCd
Method: DFT, PBE-GGA
State: relaxed

Summary:
* total magnetic moment: 3.682 μB per atom
* E_tot: -99.02 eV for the cell shown

abc: 3.4709 3.4709 36.3822
angles: 90.00 90.00 120.00
Space group R-3m (No. 166, hexagonal axes)
Unique sites:
Gd (0.0000, 0.0000, 0.0891)
Er (0.0000, 0.0000, 0.5000)
Cd (0.0000, 0.0000, 0.0000)


# 10
Material: Gd2ErCd
Method: DFT, PBE-GGA
State: relaxed

Summary:
* total magnetic moment: 3.736 μB per atom
* E_tot: -34.21 eV for the cell shown

abc: 3.593 3.593 9.132
angles: 90.00 90.00 90.00
Space group P4/mmm (No. 123)
Unique sites:
Gd (0.000, 0.000, 0.230)
Er (0.500, 0.500, 0.500)
Cd (0.500, 0.500, 0.000)


# 11
Material: Gd2ErCd
Method: DFT, PBE-GGA
State: relaxed

Summary:
* total magnetic moment: 3.915 μB per atom
* E_tot: -34.08 eV for the cell shown

abc: 4.863 4.863 4.868
angles: 90.00 90.00 90.00
Space group P4/mmm (No. 123)
Unique sites:
Gd (0.000, 0.500, 0.000)
Er (0.000, 0.000, 0.500)
Cd (0.500, 0.500, 0.500)


# 12
Material: Gd2ErCd
Method: DFT, PBE-GGA
State: relaxed

Summary:
* total magnetic moment: 3.764 μB per atom
* E_tot: -135.33 eV for the cell shown

abc: 7.720 7.720 7.720
angles: 90.00 90.00 90.00
Space group Fm-3m (No. 225)
Unique sites:
Gd (0.250, 0.250, 0.250)
Er (0.000, 0.000, 0.000)
Cd (0.000, 0.000, 0.500)


# 13
Material: GdErCdHg
Method: DFT, PBE-GGA
State: relaxed

Summary:
* total magnetic moment: 1.931 μB per atom
* E_tot: -85.93 eV for the cell shown

abc: 7.461 7.461 7.461
angles: 90.00 90.00 90.00
Space group F-43m (No. 216)
Unique sites:
Gd (0.000, 0.000, 0.000)
Er (0.000, 0.000, 0.500)
Cd (0.250, 0.250, 0.750)
Hg (0.250, 0.250, 0.250)


# 14
Material: GdHoErCd
Method: DFT, PBE-GGA
State: relaxed

Summary:
* total magnetic moment: 1.941 μB per atom
* E_tot: -96.94 eV for the cell shown

abc: 7.683 7.683 7.683
angles: 90.00 90.00 90.00
Space group F-43m (No. 216)
Unique sites:
Gd (0.000, 0.000, 0.000)
Ho (0.250, 0.250, 0.750)
Er (0.000, 0.000, 0.500)
Cd (0.250, 0.250, 0.250)


# 15
Material: GdErCdIn
Method: DFT, PBE-GGA
State: relaxed

Summary:
* total magnetic moment: 1.926 μB per atom
* E_tot: -95.83 eV for the cell shown

abc: 7.499 7.499 7.499
angles: 90.00 90.00 90.00
Space group F-43m (No. 216)
Unique sites:
Gd (0.000, 0.000, 0.000)
Er (0.000, 0.000, 0.500)
Cd (0.250, 0.250, 0.750)
In (0.250, 0.250, 0.250)


# 16
Material: GdErMgCd
Method: DFT, PBE-GGA
State: relaxed

Summary:
* total magnetic moment: 1.955 μB per atom
* E_tot: -87.97 eV for the cell shown

abc: 7.520 7.520 7.520
angles: 90.00 90.00 90.00
Space group F-43m (No. 216)
Unique sites:
Gd (0.000, 0.000, 0.000)
Er (0.000, 0.000, 0.500)
Mg (0.250, 0.250, 0.250)
Cd (0.250, 0.250, 0.750)


# 17
Material: NaGdErCd
Method: DFT, PBE-GGA
State: relaxed

Summary:
* total magnetic moment: 1.990 μB per atom
* E_tot: -83.04 eV for the cell shown

abc: 7.631 7.631 7.631
angles: 90.00 90.00 90.00
Space group F-43m (No. 216)
Unique sites:
Na (0.000, 0.000, 0.000)
Gd (0.250, 0.250, 0.250)
Er (0.250, 0.250, 0.750)
Cd (0.000, 0.000, 0.500)


# 18
Material: NdGdErCd
Method: DFT, PBE-GGA
State: relaxed

Summary:
* total magnetic moment: 1.939 μB per atom
* E_tot: -98.09 eV for the cell shown

abc: 7.787 7.787 7.787
angles: 90.00 90.00 90.00
Space group F-43m (No. 216)
Unique sites:
Nd (0.000, 0.000, 0.000)
Gd (0.000, 0.000, 0.500)
Er (0.250, 0.250, 0.750)
Cd (0.250, 0.250, 0.250)


# 19
Material: GdErCdNi
Method: DFT, PBE-GGA
State: relaxed

Summary:
* total magnetic moment: 1.782 μB per atom
* E_tot: -105.47 eV for the cell shown

abc: 7.155 7.155 7.155
angles: 90.00 90.00 90.00
Space group F-43m (No. 216)
Unique sites:
Gd (0.000, 0.000, 0.000)
Er (0.000, 0.000, 0.500)
Cd (0.250, 0.250, 0.750)
Ni (0.250, 0.250, 0.250)


# 20
Material: GdErCdPb
Method: DFT, PBE-GGA
State: relaxed

Summary:
* total magnetic moment: 1.893 μB per atom
* E_tot: -99.23 eV for the cell shown

abc: 7.574 7.574 7.574
angles: 90.00 90.00 90.00
Space group F-43m (No. 216)
Unique sites:
Gd (0.000, 0.000, 0.000)
Er (0.000, 0.000, 0.500)
Cd (0.250, 0.250, 0.750)
Pb (0.250, 0.250, 0.250)


# 21
Material: PmGdErCd
Method: DFT, PBE-GGA
State: relaxed

Summary:
* total magnetic moment: 1.935 μB per atom
* E_tot: -98.00 eV for the cell shown

abc: 7.766 7.766 7.766
angles: 90.00 90.00 90.00
Space group F-43m (No. 216)
Unique sites:
Pm (0.000, 0.000, 0.000)
Gd (0.000, 0.000, 0.500)
Er (0.250, 0.250, 0.750)
Cd (0.250, 0.250, 0.250)


# 22
Material: GdErPuCd
Method: DFT, PBE-GGA
State: relaxed

Summary:
* total magnetic moment: 0.218 μB per atom
* E_tot: -134.44 eV for the cell shown

abc: 7.640 7.640 7.640
angles: 90.00 90.00 90.00
Space group F-43m (No. 216)
Unique sites:
Gd (0.000, 0.000, 0.000)
Er (0.000, 0.000, 0.500)
Pu (0.250, 0.250, 0.250)
Cd (0.250, 0.250, 0.750)


# 23
Material: GdErCdRh
Method: DFT, PBE-GGA
State: relaxed

Summary:
* total magnetic moment: 1.776 μB per atom
* E_tot: -115.98 eV for the cell shown

abc: 7.154 7.154 7.154
angles: 90.00 90.00 90.00
Space group F-43m (No. 216)
Unique sites:
Gd (0.000, 0.000, 0.000)
Er (0.000, 0.000, 0.500)
Cd (0.250, 0.250, 0.750)
Rh (0.250, 0.250, 0.250)


# 24
Material: SmGdErCd
Method: DFT, PBE-GGA
State: relaxed

Summary:
* total magnetic moment: 1.933 μB per atom
* E_tot: -97.84 eV for the cell shown

abc: 7.751 7.751 7.751
angles: 90.00 90.00 90.00
Space group F-43m (No. 216)
Unique sites:
Sm (0.000, 0.000, 0.000)
Gd (0.000, 0.000, 0.500)
Er (0.250, 0.250, 0.250)
Cd (0.250, 0.250, 0.750)


# 25
Material: GdErCdSn
Method: DFT, PBE-GGA
State: relaxed

Summary:
* total magnetic moment: 1.878 μB per atom
* E_tot: -102.21 eV for the cell shown

abc: 7.488 7.488 7.488
angles: 90.00 90.00 90.00
Space group F-43m (No. 216)
Unique sites:
Gd (0.000, 0.000, 0.000)
Er (0.000, 0.000, 0.500)
Cd (0.250, 0.250, 0.750)
Sn (0.250, 0.250, 0.250)


# 26
Material: GdErThCd
Method: DFT, PBE-GGA
State: relaxed

Summary:
* total magnetic moment: 2.174 μB per atom
* E_tot: -106.43 eV for the cell shown

abc: 7.760 7.760 7.760
angles: 90.00 90.00 90.00
Space group F-43m (No. 216)
Unique sites:
Gd (0.000, 0.000, 0.000)
Er (0.000, 0.000, 0.500)
Th (0.250, 0.250, 0.750)
Cd (0.250, 0.250, 0.250)


# 27
Material: GdErTiCd
Method: DFT, PBE-GGA
State: relaxed

Summary:
* total magnetic moment: 2.468 μB per atom
* E_tot: -109.20 eV for the cell shown

abc: 7.402 7.402 7.402
angles: 90.00 90.00 90.00
Space group F-43m (No. 216)
Unique sites:
Gd (0.000, 0.000, 0.000)
Er (0.000, 0.000, 0.500)
Ti (0.250, 0.250, 0.750)
Cd (0.250, 0.250, 0.250)


# 28
Material: Er2CdGe2
Method: DFT, PBE-GGA
State: relaxed

Summary:
* total magnetic moment: 0.000 μB per atom
* E_tot: -45.59 eV for the cell shown

abc: 7.276 7.276 4.154
angles: 90.00 90.00 90.00
Space group P4/mbm (No. 127)
Unique sites:
Er (0.178, 0.322, 0.000)
Cd (0.000, 0.000, 0.500)
Ge (0.123, 0.623, 0.500)


# 29
Material: ErCd2Ge
Method: DFT, PBE-GGA
State: relaxed

Summary:
* total magnetic moment: 0.000 μB per atom
* E_tot: -29.94 eV for the cell shown

abc: 3.2272 3.2272 32.9834
angles: 90.00 90.00 120.00
Space group R-3m (No. 166, hexagonal axes)
Unique sites:
Er (0.0000, 0.0000, 0.0000)
Cd (0.0000, 0.0000, 0.0938)
Ge (0.0000, 0.0000, 0.5000)


# 30
Material: ErCd2Ge
Method: DFT, PBE-GGA
State: relaxed

Summary:
* total magnetic moment: 0.000 μB per atom
* E_tot: -12.51 eV for the cell shown

abc: 4.239 4.239 4.897
angles: 90.00 90.00 90.00
Space group P4/mmm (No. 123)
Unique sites:
Er (0.000, 0.000, 0.000)
Cd (0.000, 0.500, 0.500)
Ge (0.500, 0.500, 0.000)